Record 1
# Pr2InNi2 (meta-GGA SCAN, single point on PBEsol structure)
data_Pr2InNi2
_chemical_formula_sum 'Pr4 In2 Ni4'
_space_group_name_H-M_alt 'P 4/m b m'
_space_group_IT_number 127
_space_group_name_Hall '-P 4 2ab'
_cell_length_a 7.4284
_cell_length_b 7.4284
_cell_length_c 3.8131
_cell_angle_alpha 90.00
_cell_angle_beta 90.00
_cell_angle_gamma 90.00
loop_
_atom_site_label
_atom_site_type_symbol
_atom_site_fract_x
_atom_site_fract_y
_atom_site_fract_z
Pr1 Pr 0.1772 0.3228 0.0000
In1 In 0.0000 0.0000 0.5000
Ni1 Ni 0.1180 0.6180 0.5000
# E_tot: -30.907 eV/atom
# E_form: -430 meV/atom

***

Record 2
# PrInNi (meta-GGA SCAN, single point on PBEsol structure)
data_PrInNi
_chemical_formula_sum 'Pr3 In3 Ni3'
_space_group_name_H-M_alt 'P -6 2 m'
_space_group_IT_number 189
_space_group_name_Hall 'P -6 -2'
_cell_length_a 7.4726
_cell_length_b 7.4726
_cell_length_c 3.9047
_cell_angle_alpha 90.00
_cell_angle_beta 90.00
_cell_angle_gamma 120.00
loop_
_atom_site_label
_atom_site_type_symbol
_atom_site_fract_x
_atom_site_fract_y
_atom_site_fract_z
Pr1 Pr 0.0000 0.4155 0.0000
In1 In 0.0000 0.7534 0.5000
Ni1 Ni 0.0000 0.0000 0.0000
Ni2 Ni 0.3333 0.6667 0.5000
# E_tot: -31.462 eV/atom
# E_form: -500 meV/atom

***

Record 3
# PrIn2Ni (meta-GGA SCAN, single point on PBEsol structure)
data_PrIn2Ni
_chemical_formula_sum 'Pr4 In8 Ni4'
_space_group_name_H-M_alt 'C m c m'
_space_group_IT_number 63
_space_group_name_Hall '-C 2c 2'
_cell_length_a 4.3673
_cell_length_b 10.6173
_cell_length_c 7.3448
_cell_angle_alpha 90.00
_cell_angle_beta 90.00
_cell_angle_gamma 90.00
loop_
_atom_site_label
_atom_site_type_symbol
_atom_site_fract_x
_atom_site_fract_y
_atom_site_fract_z
Pr1 Pr 0.0000 0.0659 0.2500
In1 In 0.0000 0.3528 0.0509
Ni1 Ni 0.0000 0.2142 0.7500
# E_tot: -32.091 eV/atom
# E_form: -523 meV/atom

***

Record 4
# InNi2Pt (meta-GGA SCAN, single point on PBEsol structure)
data_InNi2Pt
_chemical_formula_sum 'In1 Ni2 Pt1'
_space_group_name_H-M_alt 'P m m 2'
_space_group_IT_number 25
_cell_length_a 2.8322
_cell_length_b 3.5040
_cell_length_c 5.5583
_cell_angle_alpha 90.00
_cell_angle_beta 90.00
_cell_angle_gamma 90.00
loop_
_space_group_symop_operation_xyz
'x,y,z'
'-x,-y,z'
'-x,y,z'
'x,-y,z'
loop_
_atom_site_label
_atom_site_type_symbol
_atom_site_fract_x
_atom_site_fract_y
_atom_site_fract_z
In1 In 0.0000 0.0000 0.0000
Ni1 Ni 0.0000 0.0000 0.4685
Ni2 Ni 0.5000 0.5000 0.2561
Pt1 Pt 0.5000 0.5000 0.7090
# E_tot: -34.104 eV/atom
# E_form: -122 meV/atom

***

Record 5
# InNi2Pt (meta-GGA SCAN, single point on PBEsol structure)
data_InNi2Pt
_chemical_formula_sum 'In2 Ni4 Pt2'
_space_group_name_H-M_alt 'I -4 m 2'
_space_group_IT_number 119
_space_group_name_Hall 'I -4 -2'
_cell_length_a 3.8090
_cell_length_b 3.8090
_cell_length_c 7.5679
_cell_angle_alpha 90.00
_cell_angle_beta 90.00
_cell_angle_gamma 90.00
loop_
_atom_site_label
_atom_site_type_symbol
_atom_site_fract_x
_atom_site_fract_y
_atom_site_fract_z
In1 In 0.0000 0.0000 0.0000
Ni1 Ni 0.0000 0.0000 0.5000
Ni2 Ni 0.0000 0.5000 0.7500
Pt1 Pt 0.0000 0.5000 0.2500
# E_tot: -34.169 eV/atom
# E_form: -188 meV/atom

***

Record 6
# InNiPt (meta-GGA SCAN, single point on PBEsol structure)
data_InNiPt
_chemical_formula_sum 'In2 Ni2 Pt2'
_space_group_name_H-M_alt 'I m m 2'
_space_group_IT_number 44
_cell_length_a 2.8953
_cell_length_b 3.6646
_cell_length_c 8.4436
_cell_angle_alpha 90.00
_cell_angle_beta 90.00
_cell_angle_gamma 90.00
loop_
_space_group_symop_operation_xyz
'x,y,z'
'-x,-y,z'
'-x,y,z'
'x,-y,z'
'x+1/2,y+1/2,z+1/2'
'-x+1/2,-y+1/2,z+1/2'
'-x+1/2,y+1/2,z+1/2'
'x+1/2,-y+1/2,z+1/2'
loop_
_atom_site_label
_atom_site_type_symbol
_atom_site_fract_x
_atom_site_fract_y
_atom_site_fract_z
In1 In 0.0000 0.0000 0.0000
Ni1 Ni 0.0000 0.0000 0.6625
Pt1 Pt 0.0000 0.0000 0.3239
# E_tot: -40.110 eV/atom
# E_form: -192 meV/atom

***

Record 7
# InNi6Pt (meta-GGA SCAN, single point on PBEsol structure)
data_InNi6Pt
_chemical_formula_sum 'In8 Ni48 Pt8'
_space_group_name_H-M_alt 'C m m m'
_space_group_IT_number 65
_space_group_name_Hall '-C 2 2'
_cell_length_a 7.2565
_cell_length_b 10.2912
_cell_length_c 10.2870
_cell_angle_alpha 90.00
_cell_angle_beta 90.00
_cell_angle_gamma 90.00
loop_
_atom_site_label
_atom_site_type_symbol
_atom_site_fract_x
_atom_site_fract_y
_atom_site_fract_z
In1 In 0.0000 0.0000 0.2490
In2 In 0.0000 0.2467 0.5000
Ni1 Ni 0.0000 0.0000 0.0000
Ni2 Ni 0.0000 0.0000 0.5000
Ni3 Ni 0.0000 0.2526 0.2457
Ni4 Ni 0.0000 0.5000 0.0000
Ni5 Ni 0.0000 0.5000 0.5000
Ni6 Ni 0.2444 0.3764 0.3723
Ni7 Ni 0.2453 0.3736 0.1228
Pt1 Pt 0.0000 0.2449 0.0000
Pt2 Pt 0.0000 0.5000 0.2477
# E_tot: -25.132 eV/atom
# E_form: -54 meV/atom

***

Record 8
# InNi2Pt (meta-GGA SCAN, single point on PBEsol structure)
data_InNi2Pt
_chemical_formula_sum 'In2 Ni4 Pt2'
_space_group_name_H-M_alt 'I 4/m m m'
_space_group_IT_number 139
_space_group_name_Hall '-I 4 2'
_cell_length_a 3.9804
_cell_length_b 3.9804
_cell_length_c 6.9002
_cell_angle_alpha 90.00
_cell_angle_beta 90.00
_cell_angle_gamma 90.00
loop_
_atom_site_label
_atom_site_type_symbol
_atom_site_fract_x
_atom_site_fract_y
_atom_site_fract_z
In1 In 0.0000 0.0000 0.0000
Ni1 Ni 0.0000 0.5000 0.2500
Pt1 Pt 0.0000 0.0000 0.5000
# E_tot: -34.135 eV/atom
# E_form: -153 meV/atom

***

Record 9
# InNi2Pt2 (meta-GGA SCAN, single point on PBEsol structure)
data_InNi2Pt2
_chemical_formula_sum 'In2 Ni4 Pt4'
_space_group_name_H-M_alt 'I 4/m m m'
_space_group_IT_number 139
_space_group_name_Hall '-I 4 2'
_cell_length_a 3.7057
_cell_length_b 3.7057
_cell_length_c 11.2793
_cell_angle_alpha 90.00
_cell_angle_beta 90.00
_cell_angle_gamma 90.00
loop_
_atom_site_label
_atom_site_type_symbol
_atom_site_fract_x
_atom_site_fract_y
_atom_site_fract_z
In1 In 0.0000 0.0000 0.0000
Ni1 Ni 0.0000 0.0000 0.4012
Pt1 Pt 0.0000 0.5000 0.2500
# E_tot: -41.158 eV/atom
# E_form: 66 meV/atom

***

Record 10
# InReNi (meta-GGA SCAN, single point on PBEsol structure)
data_InReNi
_chemical_formula_sum 'In2 Re2 Ni2'
_space_group_name_H-M_alt 'I 4 m m'
_space_group_IT_number 107
_space_group_name_Hall 'I 4 -2'
_cell_length_a 2.7968
_cell_length_b 2.7968
_cell_length_c 11.3076
_cell_angle_alpha 90.00
_cell_angle_beta 90.00
_cell_angle_gamma 90.00
loop_
_atom_site_label
_atom_site_type_symbol
_atom_site_fract_x
_atom_site_fract_y
_atom_site_fract_z
In1 In 0.0000 0.0000 0.0000
Re1 Re 0.0000 0.0000 0.6913
Ni1 Ni 0.0000 0.0000 0.3312
# E_tot: -39.942 eV/atom
# E_form: 277 meV/atom

***

Record 11
# In2ReNi (meta-GGA SCAN, single point on PBEsol structure)
data_In2ReNi
_chemical_formula_sum 'In4 Re2 Ni2'
_space_group_name_H-M_alt 'A m m 2'
_space_group_IT_number 38
_cell_length_a 4.3193
_cell_length_b 3.0097
_cell_length_c 10.3911
_cell_angle_alpha 90.00
_cell_angle_beta 90.00
_cell_angle_gamma 90.00
loop_
_space_group_symop_operation_xyz
'x,y,z'
'-x,-y,z'
'-x,y,z'
'x,-y,z'
'x,y+1/2,z+1/2'
'-x,-y+1/2,z+1/2'
'-x,y+1/2,z+1/2'
'x,-y+1/2,z+1/2'
loop_
_atom_site_label
_atom_site_type_symbol
_atom_site_fract_x
_atom_site_fract_y
_atom_site_fract_z
In1 In 0.0000 0.0000 0.0000
In2 In 0.5000 0.0000 0.3194
Re1 Re 0.0000 0.0000 0.7266
Ni1 Ni 0.5000 0.0000 0.5990
# E_tot: -38.074 eV/atom
# E_form: 437 meV/atom

***

Record 12
# In2ReNi (meta-GGA SCAN, single point on PBEsol structure)
data_In2ReNi
_chemical_formula_sum 'In6 Re3 Ni3'
_space_group_name_H-M_alt 'R -3 m'
_space_group_IT_number 166
_space_group_name_Hall '-R 3 2"'
_cell_length_a 2.9498
_cell_length_b 2.9498
_cell_length_c 25.9073
_cell_angle_alpha 90.00
_cell_angle_beta 90.00
_cell_angle_gamma 120.00
loop_
_atom_site_label
_atom_site_type_symbol
_atom_site_fract_x
_atom_site_fract_y
_atom_site_fract_z
In1 In 0.0000 0.0000 0.2444
Re1 Re 0.0000 0.0000 0.0000
Ni1 Ni 0.0000 0.0000 0.5000
# E_tot: -38.083 eV/atom
# E_form: 428 meV/atom

***

Record 13
# In2ReNi (meta-GGA SCAN, single point on PBEsol structure)
data_In2ReNi
_chemical_formula_sum 'In2 Re1 Ni1'
_space_group_name_H-M_alt 'P m m 2'
_space_group_IT_number 25
_cell_length_a 2.8632
_cell_length_b 4.0204
_cell_length_c 5.7641
_cell_angle_alpha 90.00
_cell_angle_beta 90.00
_cell_angle_gamma 90.00
loop_
_space_group_symop_operation_xyz
'x,y,z'
'-x,-y,z'
'-x,y,z'
'x,-y,z'
loop_
_atom_site_label
_atom_site_type_symbol
_atom_site_fract_x
_atom_site_fract_y
_atom_site_fract_z
In1 In 0.0000 0.0000 0.0000
In2 In 0.5000 0.5000 0.3176
Re1 Re 0.5000 0.5000 0.7815
Ni1 Ni 0.0000 0.0000 0.5403
# E_tot: -37.969 eV/atom
# E_form: 542 meV/atom